This record from Alexandria describes a geometry-optimized NdCo2Sn7 structure. The functional is PBE.

a = 7.979 Å, b = 7.979 Å, c = 4.549 Å
α = 90.00°, β = 90.00°, γ = 114.79°
Atoms (fractional coordinates):
Nd 0.000 0.000 0.000
Co 0.320 0.680 0.500
Co 0.680 0.320 0.500
Sn 0.060 0.342 0.500
Sn 0.250 0.750 0.000
Sn 0.342 0.060 0.500
Sn 0.500 0.500 0.500
Sn 0.658 0.940 0.500
Sn 0.750 0.250 0.000
Sn 0.940 0.658 0.500

* electronic total energy: -4.74 eV per atom
* formation energy from the elements: -37.2 meV/atom


This record from Alexandria describes a geometry-optimized Nd7Co2Sn2 structure. The functional is PBE.

a = 9.969 Å, b = 9.969 Å, c = 9.969 Å
α = 158.77°, β = 67.66°, γ = 116.61°
Atoms (fractional coordinates):
Nd 0.000 0.000 0.000
Nd 0.057 0.375 0.683
Nd 0.060 0.713 0.347
Nd 0.366 0.713 0.653
Nd 0.433 0.561 0.872
Nd 0.689 0.561 0.128
Nd 0.692 0.375 0.317
Co 0.299 0.060 0.239
Co 0.821 0.060 0.761
Sn 0.318 0.318 0.000
Sn 0.738 0.238 0.500

* electronic total energy: -5.33 eV per atom
* formation energy from the elements: -278.2 meV/atom


This record from Alexandria describes a geometry-optimized Nd2CoSn4 structure. The functional is PBE.

a = 4.538 Å, b = 8.821 Å, c = 8.821 Å
α = 29.90°, β = 90.00°, γ = 90.00°
Atoms (fractional coordinates):
Nd 0.000 0.000 0.000
Nd 0.500 0.207 0.207
Co 0.500 0.410 0.410
Sn 0.000 0.347 0.347
Sn 0.000 0.671 0.671
Sn 0.500 0.556 0.556
Sn 0.500 0.846 0.846

* electronic total energy: -5.24 eV per atom
* formation energy from the elements: -571.2 meV/atom


This record from Alexandria describes a geometry-optimized Nd2CoSn structure. The functional is PBE.

a = 3.499 Å, b = 3.499 Å, c = 8.127 Å
α = 90.00°, β = 90.00°, γ = 90.00°
Atoms (fractional coordinates):
Nd 0.000 0.000 0.212
Nd 0.000 0.000 0.788
Co 0.500 0.500 0.000
Sn 0.500 0.500 0.500

* energy above the most stable polymorph in this dataset: 0.000 eV per atom
* electronic total energy: -5.46 eV per atom
* formation energy from the elements: -299.0 meV/atom